Record 1
This record from Alexandria via LeMat-Bulk describes LiRh2 after structural relaxation. The functional is PBE.

Output
- DFT formation energy: -0.10 eV/atom
- Total magnetic moment: 0.0 Bohr magnetons per cell
- D(E_F): 6.45 states/eV/cell
- Volume: 83.1 Å³/cell
- Final energy: -33.8 eV per cell

CIF file:
```
data_LiRh2
_chemical_formula_sum 'Li2 Rh4'
_symmetry_space_group_name_H-M 'P 1'
_symmetry_Int_Tables_number 1
_symmetry_space_group_name_Hall 'P 1'
_cell_length_a 5.0220
_cell_length_b 5.0220
_cell_length_c 6.5401
_cell_angle_alpha 101.41
_cell_angle_beta 101.41
_cell_angle_gamma 31.00
loop_
_atom_site_label
_atom_site_type_symbol
_atom_site_fract_x
_atom_site_fract_y
_atom_site_fract_z
_atom_site_occupancy
Li1 Li 0.0179 0.0179 0.3136 1
Li2 Li 0.9821 0.9821 0.6864 1
Rh1 Rh 0.2824 0.2824 0.3485 1
Rh2 Rh 0.3650 0.3650 0.9805 1
Rh3 Rh 0.6350 0.6350 0.0195 1
Rh4 Rh 0.7176 0.7176 0.6515 1
```

Record 2
This record from Alexandria via LeMat-Bulk describes AcIrRh after structural relaxation. The functional is PBE.

Output
- DFT formation energy: -0.57 eV/atom
- Total magnetic moment: 0.0 Bohr magnetons per cell
- D(E_F): 4.69 states/eV/cell
- Volume: 121.6 Å³/cell
- Final energy: -44.1 eV per cell
- Energy relative to the lowest polymorph listed for this composition: 0.000 eV per atom

CIF file:
```
data_AcIrRh
_chemical_formula_sum 'Ac2 Ir2 Rh2'
_symmetry_space_group_name_H-M 'P 1'
_symmetry_Int_Tables_number 1
_symmetry_space_group_name_Hall 'P 1'
_cell_length_a 5.5699
_cell_length_b 5.5699
_cell_length_c 5.5699
_cell_angle_alpha 120.85
_cell_angle_beta 119.74
_cell_angle_gamma 89.49
loop_
_atom_site_label
_atom_site_type_symbol
_atom_site_fract_x
_atom_site_fract_y
_atom_site_fract_z
_atom_site_occupancy
Ac1 Ac 0.3733 0.1233 0.2500 1
Ac2 Ac 0.6267 0.8767 0.7500 1
Ir1 Ir 0.0000 0.0000 0.5000 1
Ir2 Ir 0.0000 0.5000 0.0000 1
Rh1 Rh 0.0000 0.5000 0.5000 1
Rh2 Rh 0.5000 0.5000 0.0000 1
```

Record 3
This record from Alexandria via LeMat-Bulk describes Be3BrN after structural relaxation. The functional is PBE.

Output
- Total magnetic moment: 0.0 Bohr magnetons per cell
- Formation energy (no corrections): 46.9 kJ/mol of atoms
- D(E_F): 2.03 states/eV/cell
- Volume: 52.3 Å³/cell
- Final energy: -18.7 eV per cell
- Energy relative to the lowest polymorph listed for this composition: 0.000 eV per atom

CIF file:
```
data_Be3BrN
_chemical_formula_sum 'Be3 Br1 N1'
_symmetry_space_group_name_H-M 'P 1'
_symmetry_Int_Tables_number 1
_symmetry_space_group_name_Hall 'P 1'
_cell_length_a 3.7396
_cell_length_b 3.7396
_cell_length_c 3.7396
_cell_angle_alpha 90.00
_cell_angle_beta 90.00
_cell_angle_gamma 90.00
loop_
_atom_site_label
_atom_site_type_symbol
_atom_site_fract_x
_atom_site_fract_y
_atom_site_fract_z
_atom_site_occupancy
Be1 Be 0.0000 0.0000 0.5000 1
Be2 Be 0.0000 0.5000 0.0000 1
Be3 Be 0.5000 0.0000 0.0000 1
Br1 Br 0.5000 0.5000 0.5000 1
N1 N 0.0000 0.0000 0.0000 1
```

Record 4
This record from Alexandria via LeMat-Bulk describes Li2CaPrAg2 after structural relaxation. The functional is PBE.

Output
- DFT formation energy: -0.15 eV/atom
- Total magnetic moment: 0.0 Bohr magnetons per cell
- D(E_F): 4.91 states/eV/cell
- Volume: 143.7 Å³/cell
- Final energy: -17.2 eV per cell

CIF file:
```
data_Li2CaPrAg2
_chemical_formula_sum 'Li2 Ca1 Pr1 Ag2'
_symmetry_space_group_name_H-M 'P 1'
_symmetry_Int_Tables_number 1
_symmetry_space_group_name_Hall 'P 1'
_cell_length_a 4.7527
_cell_length_b 4.7527
_cell_length_c 7.3483
_cell_angle_alpha 90.00
_cell_angle_beta 90.00
_cell_angle_gamma 120.00
loop_
_atom_site_label
_atom_site_type_symbol
_atom_site_fract_x
_atom_site_fract_y
_atom_site_fract_z
_atom_site_occupancy
Li1 Li 0.3333 0.6667 0.2314 1
Li2 Li 0.6667 0.3333 0.7686 1
Ca1 Ca 0.0000 0.0000 0.0000 1
Pr1 Pr 0.0000 0.0000 0.5000 1
Ag1 Ag 0.3333 0.6667 0.7513 1
Ag2 Ag 0.6667 0.3333 0.2487 1
```

Record 5
This record from Alexandria via LeMat-Bulk describes Pm5Te5Rh after structural relaxation. The functional is PBE.

Output
- Total magnetic moment: 0.0 Bohr magnetons per cell
- Formation energy (no corrections): -121.2 kJ/mol of atoms
- D(E_F): 8.36 states/eV/cell
- Volume: 367.7 Å³/cell
- Final energy: -60.6 eV per cell

CIF file:
```
data_Pm5Te5Rh
_chemical_formula_sum 'Pm5 Te5 Rh1'
_symmetry_space_group_name_H-M 'P 1'
_symmetry_Int_Tables_number 1
_symmetry_space_group_name_Hall 'P 1'
_cell_length_a 7.7109
_cell_length_b 7.7109
_cell_length_c 8.7565
_cell_angle_alpha 107.28
_cell_angle_beta 107.28
_cell_angle_gamma 48.33
loop_
_atom_site_label
_atom_site_type_symbol
_atom_site_fract_x
_atom_site_fract_y
_atom_site_fract_z
_atom_site_occupancy
Pm1 Pm 0.0000 0.0000 0.0000 1
Pm2 Pm 0.3476 0.3476 0.6883 1
Pm3 Pm 0.3519 0.3519 0.1504 1
Pm4 Pm 0.6481 0.6481 0.8496 1
Pm5 Pm 0.6524 0.6524 0.3117 1
Te1 Te 0.1647 0.1647 0.8250 1
Te2 Te 0.1818 0.1818 0.3321 1
Te3 Te 0.5000 0.5000 0.5000 1
Te4 Te 0.8182 0.8182 0.6679 1
Te5 Te 0.8353 0.8353 0.1750 1
Rh1 Rh 0.5000 0.5000 0.0000 1
```

Record 6
This record from Alexandria via LeMat-Bulk describes TePd3 after structural relaxation. The functional is PBE.

Output
- Total magnetic moment: 0.0 Bohr magnetons per cell
- Formation energy (no corrections): -16.1 kJ/mol of atoms
- D(E_F): 2.12 states/eV/cell
- Volume: 69.8 Å³/cell
- Final energy: -19.4 eV per cell
- Energy relative to the lowest polymorph listed for this composition: 0.069 eV per atom

CIF file:
```
data_TePd3
_chemical_formula_sum 'Te1 Pd3'
_symmetry_space_group_name_H-M 'P 1'
_symmetry_Int_Tables_number 1
_symmetry_space_group_name_Hall 'P 1'
_cell_length_a 3.5234
_cell_length_b 3.5234
_cell_length_c 5.6263
_cell_angle_alpha 90.00
_cell_angle_beta 90.00
_cell_angle_gamma 90.00
loop_
_atom_site_label
_atom_site_type_symbol
_atom_site_fract_x
_atom_site_fract_y
_atom_site_fract_z
_atom_site_occupancy
Te1 Te 0.0000 0.0000 0.0000 1
Pd1 Pd 0.0000 0.0000 0.5000 1
Pd2 Pd 0.5000 0.5000 0.2518 1
Pd3 Pd 0.5000 0.5000 0.7482 1
```

Record 7
This record from Alexandria via LeMat-Bulk describes SrIn12Pt6 after structural relaxation. The functional is PBE.

Output
- DFT formation energy: -0.41 eV/atom
- Total magnetic moment: 0.0 Bohr magnetons per cell
- D(E_F): 5.88 states/eV/cell
- Volume: 432.4 Å³/cell
- Final energy: -78.6 eV per cell

CIF file:
```
data_SrIn12Pt6
_chemical_formula_sum 'Sr1 In12 Pt6'
_symmetry_space_group_name_H-M 'P 1'
_symmetry_Int_Tables_number 1
_symmetry_space_group_name_Hall 'P 1'
_cell_length_a 7.9144
_cell_length_b 7.9144
_cell_length_c 7.9144
_cell_angle_alpha 105.10
_cell_angle_beta 105.10
_cell_angle_gamma 105.10
loop_
_atom_site_label
_atom_site_type_symbol
_atom_site_fract_x
_atom_site_fract_y
_atom_site_fract_z
_atom_site_occupancy
Sr1 Sr 0.0000 0.0000 0.0000 1
In1 In 0.1173 0.5000 0.8827 1
In2 In 0.1173 0.8827 0.5000 1
In3 In 0.1557 0.4126 0.4126 1
In4 In 0.4126 0.1557 0.4126 1
In5 In 0.4126 0.4126 0.1557 1
In6 In 0.5000 0.1173 0.8827 1
In7 In 0.5000 0.8827 0.1173 1
In8 In 0.5874 0.5874 0.8443 1
In9 In 0.5874 0.8443 0.5874 1
In10 In 0.8443 0.5874 0.5874 1
In11 In 0.8827 0.1173 0.5000 1
In12 In 0.8827 0.5000 0.1173 1
Pt1 Pt 0.2708 0.2708 0.7034 1
Pt2 Pt 0.2708 0.7034 0.2708 1
Pt3 Pt 0.2966 0.7292 0.7292 1
Pt4 Pt 0.7034 0.2708 0.2708 1
Pt5 Pt 0.7292 0.2966 0.7292 1
Pt6 Pt 0.7292 0.7292 0.2966 1
```

Record 8
This record from Alexandria via LeMat-Bulk describes TcTeRu2 after structural relaxation. The functional is PBE.

Output
- Total magnetic moment: 0.0 Bohr magnetons per cell
- Formation energy (no corrections): 33.2 kJ/mol of atoms
- D(E_F): 5.36 states/eV/cell
- Volume: 63.8 Å³/cell
- Final energy: -30.7 eV per cell

CIF file:
```
data_TcTeRu2
_chemical_formula_sum 'Tc1 Te1 Ru2'
_symmetry_space_group_name_H-M 'P 1'
_symmetry_Int_Tables_number 1
_symmetry_space_group_name_Hall 'P 1'
_cell_length_a 4.7968
_cell_length_b 4.7968
_cell_length_c 4.7334
_cell_angle_alpha 97.21
_cell_angle_beta 97.21
_cell_angle_gamma 36.23
loop_
_atom_site_label
_atom_site_type_symbol
_atom_site_fract_x
_atom_site_fract_y
_atom_site_fract_z
_atom_site_occupancy
Tc1 Tc 0.0000 0.0000 0.0000 1
Te1 Te 0.5000 0.5000 0.5000 1
Ru1 Ru 0.2621 0.2621 0.7726 1
Ru2 Ru 0.7379 0.7379 0.2274 1
```

Please write out number 2 again, unchanged.
This record from Alexandria via LeMat-Bulk describes AcIrRh after structural relaxation. The functional is PBE.

Output
- DFT formation energy: -0.57 eV/atom
- Total magnetic moment: 0.0 Bohr magnetons per cell
- D(E_F): 4.69 states/eV/cell
- Volume: 121.6 Å³/cell
- Final energy: -44.1 eV per cell
- Energy relative to the lowest polymorph listed for this composition: 0.000 eV per atom

CIF file:
```
data_AcIrRh
_chemical_formula_sum 'Ac2 Ir2 Rh2'
_symmetry_space_group_name_H-M 'P 1'
_symmetry_Int_Tables_number 1
_symmetry_space_group_name_Hall 'P 1'
_cell_length_a 5.5699
_cell_length_b 5.5699
_cell_length_c 5.5699
_cell_angle_alpha 120.85
_cell_angle_beta 119.74
_cell_angle_gamma 89.49
loop_
_atom_site_label
_atom_site_type_symbol
_atom_site_fract_x
_atom_site_fract_y
_atom_site_fract_z
_atom_site_occupancy
Ac1 Ac 0.3733 0.1233 0.2500 1
Ac2 Ac 0.6267 0.8767 0.7500 1
Ir1 Ir 0.0000 0.0000 0.5000 1
Ir2 Ir 0.0000 0.5000 0.0000 1
Rh1 Rh 0.0000 0.5000 0.5000 1
Rh2 Rh 0.5000 0.5000 0.0000 1
```